# 1
LiLa2Pd2 | GGA-PBEsol | optimized geometry

Output
The theoretical density comes out at 6950 kg/m³. The value obtained for the density of states at the Fermi level is 6.67 states/eV/cell. The formation energy comes out at -0.597 eV per atom. The energy is -5.51 eV per atom. As for the calculated volume: 23.78 Å³ per atom.

Geometry as CIF:
```
data_LiLa2Pd2
_space_group_name_H-M_alt 'P 4/m b m'
_space_group_IT_number 127
_space_group_name_Hall '-P 4 2ab'
_cell_length_a 7.751
_cell_length_b 7.751
_cell_length_c 3.958
_cell_angle_alpha 90.00
_cell_angle_beta 90.00
_cell_angle_gamma 90.00
loop_
_atom_site_label
_atom_site_fract_x
_atom_site_fract_y
_atom_site_fract_z
_atom_site_occupancy
Li1 0.000 0.000 0.000 1
La1 0.168 0.332 0.500 1
Pd1 0.132 0.632 0.000 1
```



# 2
Li2LaPt | GGA-PBEsol | optimized geometry

Output
The theoretical density comes out at 6908 kg/m³. The value obtained for the density of states at the Fermi level is 1.89 states/eV/cell. The formation energy comes out at -0.454 eV per atom. The energy is -4.51 eV per atom. As for the calculated volume: 20.91 Å³ per atom.

Geometry as CIF:
```
data_Li2LaPt
_space_group_name_H-M_alt 'P 4/m m m'
_space_group_IT_number 123
_space_group_name_Hall '-P 4 2'
_cell_length_a 4.042
_cell_length_b 4.042
_cell_length_c 5.118
_cell_angle_alpha 90.00
_cell_angle_beta 90.00
_cell_angle_gamma 90.00
loop_
_atom_site_label
_atom_site_fract_x
_atom_site_fract_y
_atom_site_fract_z
_atom_site_occupancy
Li1 0.000 0.500 0.000 1
La1 0.000 0.000 0.500 1
Pt1 0.500 0.500 0.500 1
```



# 3
Li2LaPt | GGA-PBEsol | optimized geometry

Output
The theoretical density comes out at 7140 kg/m³. The value obtained for the density of states at the Fermi level is 7.99 states/eV/cell. The formation energy comes out at -0.457 eV per atom. The energy is -4.52 eV per atom. As for the calculated volume: 20.23 Å³ per atom.

Geometry as CIF:
```
data_Li2LaPt
_space_group_name_H-M_alt 'R 3 m'
_space_group_IT_number 160
_space_group_name_Hall 'R 3 -2"'
_cell_length_a 4.4258
_cell_length_b 4.4258
_cell_length_c 14.3078
_cell_angle_alpha 90.00
_cell_angle_beta 90.00
_cell_angle_gamma 120.00
loop_
_atom_site_label
_atom_site_fract_x
_atom_site_fract_y
_atom_site_fract_z
_atom_site_occupancy
Li1 0.0000 0.0000 0.0000 1
Li2 0.0000 0.0000 0.2835 1
La1 0.0000 0.0000 0.4824 1
Pt1 0.0000 0.0000 0.6962 1
```



# 4
LiLaPt4 | GGA-PBEsol | optimized geometry

Output
The theoretical density comes out at 14226 kg/m³. The value obtained for the density of states at the Fermi level is 16.28 states/eV/cell. The formation energy comes out at -0.851 eV per atom. The energy is -6.71 eV per atom. As for the calculated volume: 18.02 Å³ per atom.

Geometry as CIF:
```
data_LiLaPt4
_space_group_name_H-M_alt 'F -4 3 m'
_space_group_IT_number 216
_space_group_name_Hall 'F -4 2 3'
_cell_length_a 7.562
_cell_length_b 7.562
_cell_length_c 7.562
_cell_angle_alpha 90.00
_cell_angle_beta 90.00
_cell_angle_gamma 90.00
loop_
_atom_site_label
_atom_site_fract_x
_atom_site_fract_y
_atom_site_fract_z
_atom_site_occupancy
Li1 0.000 0.000 0.000 1
La1 0.250 0.250 0.750 1
Pt1 0.126 0.126 0.374 1
```



# 5
Li2LaPt | GGA-PBEsol | optimized geometry

Output
The theoretical density comes out at 6771 kg/m³. The value obtained for the density of states at the Fermi level is 6.54 states/eV/cell. The formation energy comes out at -0.413 eV per atom. The energy is -4.47 eV per atom. As for the calculated volume: 21.33 Å³ per atom.

Geometry as CIF:
```
data_Li2LaPt
_space_group_name_H-M_alt 'I -4 2 d'
_space_group_IT_number 122
_space_group_name_Hall 'I -4 2bw'
_cell_length_a 4.071
_cell_length_b 4.071
_cell_length_c 20.590
_cell_angle_alpha 90.00
_cell_angle_beta 90.00
_cell_angle_gamma 90.00
loop_
_atom_site_label
_atom_site_fract_x
_atom_site_fract_y
_atom_site_fract_z
_atom_site_occupancy
Li1 0.172 0.750 0.125 1
La1 0.000 0.000 0.500 1
Pt1 0.000 0.000 0.000 1
```



# 6
Li2LaPt | GGA-PBEsol | optimized geometry

Output
The theoretical density comes out at 6503 kg/m³. The value obtained for the density of states at the Fermi level is 2.18 states/eV/cell. The formation energy comes out at -0.459 eV per atom. The energy is -4.52 eV per atom. As for the calculated volume: 22.21 Å³ per atom.

Geometry as CIF:
```
data_Li2LaPt
_space_group_name_H-M_alt 'P 1 m 1'
_space_group_IT_number 6
_cell_length_a 4.188
_cell_length_b 3.858
_cell_length_c 5.851
_cell_angle_alpha 90.00
_cell_angle_beta 109.97
_cell_angle_gamma 90.00
loop_
_space_group_symop_operation_xyz
'x,y,z'
'x,-y,z'
loop_
_atom_site_label
_atom_site_fract_x
_atom_site_fract_y
_atom_site_fract_z
_atom_site_occupancy
Li1 0.000 0.000 0.000 1
Li2 0.416 0.500 0.844 1
La1 0.714 0.500 0.424 1
Pt1 0.258 0.000 0.518 1
```



# 7
Li2LaPt2 | GGA-PBEsol | optimized geometry

Output
The theoretical density comes out at 9657 kg/m³. The value obtained for the density of states at the Fermi level is 3.40 states/eV/cell. The formation energy comes out at -0.696 eV per atom. The energy is -5.34 eV per atom. As for the calculated volume: 18.67 Å³ per atom.

Geometry as CIF:
```
data_Li2LaPt2
_space_group_name_H-M_alt 'I 4/m m m'
_space_group_IT_number 139
_space_group_name_Hall '-I 4 2'
_cell_length_a 3.830
_cell_length_b 3.830
_cell_length_c 12.731
_cell_angle_alpha 90.00
_cell_angle_beta 90.00
_cell_angle_gamma 90.00
loop_
_atom_site_label
_atom_site_fract_x
_atom_site_fract_y
_atom_site_fract_z
_atom_site_occupancy
Li1 0.000 0.500 0.250 1
La1 0.000 0.000 0.000 1
Pt1 0.000 0.000 0.392 1
```



# 8
Li2LaPt | GGA-PBEsol | optimized geometry

Output
The theoretical density comes out at 7610 kg/m³. The value obtained for the density of states at the Fermi level is 2.02 states/eV/cell. The formation energy comes out at -0.503 eV per atom. The energy is -4.56 eV per atom. As for the calculated volume: 18.98 Å³ per atom.

Geometry as CIF:
```
data_Li2LaPt
_space_group_name_H-M_alt 'I 4/m m m'
_space_group_IT_number 139
_space_group_name_Hall '-I 4 2'
_cell_length_a 4.125
_cell_length_b 4.125
_cell_length_c 8.923
_cell_angle_alpha 90.00
_cell_angle_beta 90.00
_cell_angle_gamma 90.00
loop_
_atom_site_label
_atom_site_fract_x
_atom_site_fract_y
_atom_site_fract_z
_atom_site_occupancy
Li1 0.000 0.500 0.250 1
La1 0.000 0.000 0.000 1
Pt1 0.000 0.000 0.500 1
```